No. 1
An optimized crystal structure of Tb5Nd12Th2, computed with PBE.

a b c (Å): 9.5157 9.5157 8.1476
angles (deg): 90.76 90.76 63.12
Closest atoms and distances in Å follow each position.
Sites, in units of the cell vectors:
Tb (0.0000, 0.0000, 0.0000)  4 Nd 3.38
Tb (0.2493, 0.2493, 0.9803)  5 Nd 3.26-3.51
Tb (0.3547, 0.3547, 0.4255)  5 Nd 3.28-3.61, 2 Th 3.64
Tb (0.6453, 0.6453, 0.5745)  5 Nd 3.28-3.61, 2 Th 3.64
Tb (0.7507, 0.7507, 0.0197)  5 Nd 3.26-3.51
Nd (0.0360, 0.5912, 0.7123)  1 Th 3.51, 4 Tb 3.51-3.69, 5 Nd 3.55-3.82
Nd (0.1570, 0.1570, 0.6226)  2 Tb 3.26-3.61, 2 Th 3.54, 4 Nd 3.55-3.57
Nd (0.1680, 0.6191, 0.1167)  4 Tb 3.38-3.66, 5 Nd 3.46-3.66, 1 Th 3.58
Nd (0.3809, 0.8320, 0.8833)  4 Tb 3.38-3.66, 5 Nd 3.46-3.66, 1 Th 3.58
Nd (0.4088, 0.9640, 0.2877)  1 Th 3.51, 4 Tb 3.51-3.69, 5 Nd 3.55-3.82
Nd (0.4512, 0.4512, 0.7824)  3 Tb 3.28-3.67, 6 Nd 3.46-3.66, 2 Th 3.65
Nd (0.5488, 0.5488, 0.2176)  3 Tb 3.28-3.67, 6 Nd 3.46-3.66, 2 Th 3.65
Nd (0.5912, 0.0360, 0.7123)  1 Th 3.51, 4 Tb 3.51-3.69, 5 Nd 3.55-3.82
Nd (0.6191, 0.1680, 0.1167)  4 Tb 3.38-3.66, 5 Nd 3.46-3.66, 1 Th 3.58
Nd (0.8320, 0.3809, 0.8833)  4 Tb 3.38-3.66, 5 Nd 3.46-3.66, 1 Th 3.58
Nd (0.8430, 0.8430, 0.3774)  2 Tb 3.26-3.61, 2 Th 3.54, 4 Nd 3.55-3.57
Nd (0.9640, 0.4088, 0.2877)  1 Th 3.51, 4 Tb 3.51-3.69, 5 Nd 3.55-3.82
Th (0.2277, 0.7723, 0.5000)  8 Nd 3.51-3.65, 2 Tb 3.64
Th (0.7723, 0.2277, 0.5000)  8 Nd 3.51-3.65, 2 Tb 3.64

Values from the calculation:
space-group type	C2/m



No. 2
An optimized crystal structure of Tb7NdTh3, computed with PBE.

a b c (Å): 6.4653 6.7226 8.6968
angles (deg): 101.26 97.26 96.73
Closest atoms and distances in Å follow each position.
Sites, in units of the cell vectors:
Tb (0.0000, 0.0000, 0.0000)  2 Nd 3.36, 6 Tb 3.43-3.57, 2 Th 3.48
Tb (0.0715, 0.7158, 0.6428)  6 Tb 3.38-3.60, 3 Th 3.53-3.77, 1 Nd 3.73
Tb (0.2075, 0.2305, 0.7042)  4 Th 3.36-3.60, 1 Nd 3.36, 6 Tb 3.39-3.68
Tb (0.4922, 0.7325, 0.9241)  6 Tb 3.40-3.68, 1 Nd 3.57, 2 Th 3.62-3.72
Tb (0.5078, 0.2675, 0.0759)  6 Tb 3.40-3.68, 1 Nd 3.57, 2 Th 3.62-3.72
Tb (0.7925, 0.7695, 0.2958)  4 Th 3.36-3.60, 1 Nd 3.36, 6 Tb 3.39-3.68
Tb (0.9285, 0.2842, 0.3572)  6 Tb 3.38-3.60, 3 Th 3.53-3.77, 1 Nd 3.73
Nd (0.0000, 0.5000, 0.0000)  8 Tb 3.36-3.73
Th (0.3249, 0.9498, 0.3368)  2 Th 3.30-3.68, 6 Tb 3.42-3.62
Th (0.5000, 0.5000, 0.5000)  8 Tb 3.36-3.77, 2 Th 3.68
Th (0.6751, 0.0502, 0.6632)  2 Th 3.30-3.68, 6 Tb 3.42-3.62

Values from the calculation:
space-group type	P-1



No. 3
An optimized crystal structure of Tb2Nd8Th, computed with PBE.

a b c (Å): 8.6121 8.6121 5.4653
angles (deg): 90.00 90.00 105.36
Closest atoms and distances in Å follow each position.
Sites, in units of the cell vectors:
Tb (0.1197, 0.8803, 0.0000)  8 Nd 3.26-3.64, 1 Tb 3.28
Tb (0.8803, 0.1197, 0.0000)  8 Nd 3.26-3.64, 1 Tb 3.28
Nd (0.1684, 0.1684, 0.5000)  1 Th 3.46, 7 Nd 3.52-3.84, 4 Tb 3.64
Nd (0.2036, 0.4654, 0.0000)  7 Nd 3.46-3.71, 2 Tb 3.50-3.83, 2 Th 3.70
Nd (0.2488, 0.7512, 0.5000)  2 Tb 3.26, 1 Th 3.44, 4 Nd 3.63
Nd (0.4654, 0.2036, 0.0000)  7 Nd 3.46-3.71, 2 Tb 3.50-3.83, 2 Th 3.70
Nd (0.5346, 0.7964, 0.0000)  7 Nd 3.46-3.71, 2 Tb 3.50-3.83, 2 Th 3.70
Nd (0.7512, 0.2488, 0.5000)  2 Tb 3.26, 1 Th 3.44, 4 Nd 3.63
Nd (0.7964, 0.5346, 0.0000)  7 Nd 3.46-3.71, 2 Tb 3.50-3.83, 2 Th 3.70
Nd (0.8316, 0.8316, 0.5000)  1 Th 3.46, 7 Nd 3.52-3.84, 4 Tb 3.64
Th (0.5000, 0.5000, 0.5000)  12 Nd 3.44-3.70

Values from the calculation:
space-group type	Cmmm



No. 4
An optimized crystal structure of Tb3NdTh, computed with PBE.

a b c (Å): 8.7930 3.5521 11.0567
angles (deg): 90.00 107.67 90.00
Closest atoms and distances in Å follow each position.
Sites, in units of the cell vectors:
Tb (0.0038, 0.2500, 0.2567)  3 Th 3.32-3.43, 3 Nd 3.38-3.58, 5 Tb 3.46-3.64
Tb (0.3827, 0.7500, 0.3519)  8 Tb 3.55-3.75, 3 Th 3.60-3.77, 2 Nd 3.88
Tb (0.4094, 0.7500, 0.8467)  3 Nd 3.37-3.66, 7 Tb 3.46-3.73, 2 Th 3.58
Tb (0.5906, 0.2500, 0.1533)  3 Nd 3.37-3.66, 7 Tb 3.46-3.73, 2 Th 3.58
Tb (0.6173, 0.2500, 0.6481)  8 Tb 3.55-3.75, 3 Th 3.60-3.77, 2 Nd 3.88
Tb (0.9962, 0.7500, 0.7433)  3 Th 3.32-3.43, 3 Nd 3.38-3.58, 5 Tb 3.46-3.64
Nd (0.1893, 0.2500, 0.0301)  6 Tb 3.37-3.66, 4 Nd 3.55-3.65
Nd (0.8107, 0.7500, 0.9699)  6 Tb 3.37-3.66, 4 Nd 3.55-3.65
Th (0.1883, 0.2500, 0.5674)  6 Tb 3.32-3.60, 4 Th 3.55-3.65
Th (0.8117, 0.7500, 0.4326)  6 Tb 3.32-3.60, 4 Th 3.55-3.65

Values from the calculation:
space-group type	P2_1/m



We obtain energy above the lowest structure with this stoichiometry values of 27.9, 0.0, 0.0, 0.0 meV/atom for the records listed above, in that order.
We obtain energy of formation from the pure elements values of 151.1, 153.0, 161.5, 50.5 meV per atom for the records listed above, in that order.